A plane-wave DFT calculation with PBE-GGA was carried out for a geometry-optimized LiZr2RhN structure.

Cell and atoms, written as POSCAR:
```
LiZr2RhN
1.0
4.477 0.000 0.000
0.000 4.477 0.000
0.000 0.000 3.760
Li Zr Rh N
1 2 1 1
direct
0.000 0.000 0.000
0.000 0.500 0.500
0.500 0.000 0.500
0.500 0.500 0.000
0.000 0.000 0.500
```

density: 6750 kg/m³
energy: -7.807 eV per atom